Density functional theory data (PBE+U) for crystalline CuMo2O6 at its relaxed geometry.

The structure belongs to space group C2/m (No. 12); the cell edges are 10.1999, 3.4815 and 7.5457 Å and the angles 90.00°, 91.69° and 90.00°. Symmetry generates all atoms from Cu at (0.0000, 0.0000, 0.0000), Mo at (0.2324, 0.5000, 0.7138), O at (0.0984, 0.0000, 0.2215), O at (0.1287, 0.5000, 0.8998) and O at (0.1929, 0.0000, 0.6049).

The total energy comes out at -6.550 eV per atom. The volume comes out at 14.88 Å³ per atom.

***

Density functional theory data (PBE+U) for crystalline Li2CrInF8 at its relaxed geometry.

The structure belongs to space group I-4m2 (No. 119); the cell edges are 6.5284, 6.5284 and 6.8133 Å and the angles 90.00°, 90.00° and 90.00°. Symmetry generates all atoms from Li at (0.0000, 0.0000, 0.0000), Li at (0.0000, 0.5000, 0.2500), Cr at (0.0000, 0.5000, 0.7500), In at (0.0000, 0.0000, 0.5000), F at (0.0000, 0.2024, 0.7958) and F at (0.0000, 0.3147, 0.4513).

The total energy comes out at -5.057 eV per atom. The volume comes out at 12.10 Å³ per atom.